Entry 1:
DFT (PBE-GGA) results for Nb3CrPb after structural relaxation.

The structure belongs to space group Pm-3m (No. 221); the cell edges are 4.679, 4.679 and 4.679 Å and the angles 90.00°, 90.00° and 90.00°. The asymmetric unit holds Nb at (0.000, 0.000, 0.500), Cr at (0.000, 0.000, 0.000) and Pb at (0.500, 0.500, 0.500).

For the volume, the calculation gives 20.5 Å³/atom. As for the density of states at the Fermi level: 3.7 states/eV/f.u. The calculation puts the formation energy at 3.56 eV per formula unit. The value obtained for the uncorrected energy is -7.997 eV per atom. The energy above the most stable polymorph in this dataset is 0.0 meV per atom.

=====

Entry 2:
DFT (PBE-GGA) results for KWN after structural relaxation.

The structure belongs to space group P1 (No. 1); the cell edges are 3.072, 3.072 and 12.786 Å and the angles 88.54°, 87.97° and 60.34°. The asymmetric unit holds K at (0.000, 0.000, 0.000), K at (0.089, 0.144, 0.660), W at (0.103, 0.137, 0.411), W at (0.623, 0.643, 0.238), N at (0.314, 0.326, 0.150) and N at (0.773, 0.815, 0.502).

For the volume, the calculation gives 17.5 Å³/atom. As for the density of states at the Fermi level: 1.8 states/eV/f.u. The formation energy without anion corrections comes out at 0.05 eV per formula unit. The value obtained for the uncorrected energy is -7.443 eV per atom.